Run P
# Cr3HgBi

A relaxed structure of Cr3HgBi (GGA-PBE, Alexandria via LeMat-Bulk).

Structure (POSCAR):
```
Cr3HgBi
1.0
5.448 0.000 0.000
0.000 5.448 0.000
0.000 0.000 5.448
Cr Bi Hg
3 1 1
Direct
0.000 0.500 0.000
0.000 0.000 0.500
0.500 0.000 0.000
0.000 0.000 0.000
0.500 0.500 0.500
```

---

Run Q
# Cr3HgBi

A relaxed structure of Cr3HgBi (GGA-PBE, Alexandria via LeMat-Bulk).

Structure (POSCAR):
```
Cr3HgBi
1.0
5.117 0.000 0.000
0.000 5.117 0.000
0.000 0.000 5.117
Cr Bi Hg
3 1 1
Direct
0.000 0.500 0.000
0.000 0.000 0.500
0.500 0.000 0.000
0.500 0.500 0.500
0.000 0.000 0.000
```

---

Ranked by calculated energy, most stable first: run Q, run P.

---

Run P
# Cr2BiI

A relaxed structure of Cr2BiI (GGA-PBE, Alexandria via LeMat-Bulk).

Structure (POSCAR):
```
Cr2BiI
1.0
-4.836 4.429 -3.141
-4.704 -1.317 5.386
-3.103 5.008 3.422
I Cr Bi
2 4 2
Direct
0.500 0.500 0.000
0.250 0.750 0.500
0.632 0.125 0.250
0.118 0.625 0.250
0.375 0.368 0.750
0.875 0.882 0.750
0.000 0.000 0.000
0.750 0.250 0.500
```

---

Run Q
# Cr2BiI

A relaxed structure of Cr2BiI (GGA-PBE, Alexandria via LeMat-Bulk).

Structure (POSCAR):
```
Cr2BiI
1.0
4.734 -1.187 -1.562
1.699 -4.818 0.404
0.671 -2.842 -4.211
I Cr Bi
1 2 1
Direct
0.000 0.000 0.000
0.250 0.250 0.250
0.750 0.750 0.750
0.500 0.500 0.500
```

---

Ranked by calculated energy, most stable first: run P, run Q.

---

Run P
# CrBiI2

A relaxed structure of CrBiI2 (GGA-PBE, Alexandria via LeMat-Bulk).

Structure (POSCAR):
```
CrBiI2
1.0
-3.794 6.188 -4.237
1.525 -4.012 -7.226
-4.321 -0.661 -5.433
I Cr Bi
4 2 2
Direct
0.572 0.125 0.250
0.178 0.625 0.250
0.375 0.428 0.750
0.875 0.822 0.750
0.500 0.500 0.000
0.250 0.750 0.500
0.000 0.000 0.000
0.750 0.250 0.500
```

---

Run Q
# CrBiI2

A relaxed structure of CrBiI2 (GGA-PBE, Alexandria via LeMat-Bulk).

Structure (POSCAR):
```
CrBiI2
1.0
0.000 3.909 3.909
3.909 0.000 3.909
3.909 3.909 0.000
I Cr Bi
2 1 1
Direct
0.250 0.250 0.250
0.750 0.750 0.750
0.000 0.000 0.000
0.500 0.500 0.500
```

---

Ranked by calculated energy, most stable first: run P, run Q.

---

Run P
# CrBiI3

A relaxed structure of CrBiI3 (GGA-PBE, Alexandria via LeMat-Bulk).

Structure (POSCAR):
```
CrBiI3
1.0
6.193 0.000 0.000
0.000 6.193 0.000
0.000 0.000 6.193
I Cr Bi
3 1 1
Direct
0.000 0.500 0.000
0.000 0.000 0.500
0.500 0.000 0.000
0.500 0.500 0.500
0.000 0.000 0.000
```

---

Run Q
# CrBiI3

A relaxed structure of CrBiI3 (GGA-PBE, Alexandria via LeMat-Bulk).

Structure (POSCAR):
```
CrBiI3
1.0
-1.991 1.996 -4.752
0.830 -4.904 -2.407
-5.087 -1.581 1.467
I Cr Bi
3 1 1
Direct
0.000 0.500 0.000
0.000 0.000 0.500
0.500 0.000 0.000
0.000 0.000 0.000
0.500 0.500 0.500
```

---

Ranked by calculated energy, most stable first: run Q, run P.

---

Run P
# CrBi2I

A relaxed structure of CrBi2I (GGA-PBE, Alexandria via LeMat-Bulk).

Structure (POSCAR):
```
CrBi2I
1.0
6.381 0.000 0.000
0.000 6.381 0.000
3.191 3.191 7.809
I Cr Bi
2 2 4
Direct
0.000 0.000 0.000
0.750 0.250 0.500
0.500 0.500 0.000
0.250 0.750 0.500
0.517 0.125 0.250
0.233 0.625 0.250
0.375 0.483 0.750
0.875 0.767 0.750
```

---

Run Q
# CrBi2I

A relaxed structure of CrBi2I (GGA-PBE, Alexandria via LeMat-Bulk).

Structure (POSCAR):
```
CrBi2I
1.0
0.086 -5.381 1.018
-4.603 -2.585 1.457
-2.402 -3.484 -3.477
I Cr Bi
1 1 2
Direct
0.500 0.500 0.500
0.000 0.000 0.000
0.250 0.250 0.250
0.750 0.750 0.750
```

---

Ranked by calculated energy, most stable first: run P, run Q.

---

Run P
# CrBiI2N

A relaxed structure of CrBiI2N (GGA-PBE, Alexandria via LeMat-Bulk).

Structure (POSCAR):
```
CrBiI2N
1.0
-2.105 5.054 1.992
0.276 -2.034 5.453
3.416 1.299 0.312
I Cr Bi N
2 1 1 1
Direct
0.000 0.500 0.000
0.500 0.000 0.000
0.000 0.000 0.000
0.500 0.500 0.500
0.000 0.000 0.500
```

---

Run Q
# CrBiI2N

A relaxed structure of CrBiI2N (GGA-PBE, Alexandria via LeMat-Bulk).

Structure (POSCAR):
```
CrBiI2N
1.0
6.152 0.000 0.000
0.000 3.624 0.000
0.000 0.000 6.152
I Cr Bi N
2 1 1 1
Direct
0.000 0.000 0.500
0.500 0.000 0.000
0.000 0.500 0.000
0.500 0.500 0.500
0.000 0.000 0.000
```

---

Run R
# CrBiI2N

A relaxed structure of CrBiI2N (GGA-PBE, Alexandria via LeMat-Bulk).

Structure (POSCAR):
```
CrBiI2N
1.0
-2.761 -3.059 4.818
-4.364 -2.318 -3.972
2.450 -3.361 -0.730
I Cr Bi N
2 1 1 1
Direct
0.000 0.500 0.000
0.500 0.000 0.000
0.500 0.500 0.500
0.000 0.000 0.000
0.000 0.000 0.500
```

---

Ranked by calculated energy, most stable first: run P, run Q, run R.